A plane-wave DFT calculation with PBE was carried out for an optimized crystal structure of UVP.

The structure belongs to space group I4mm (No. 107); the cell edges are 3.620, 3.620 and 8.284 Å and the angles 90.00°, 90.00° and 90.00°. The distinct sites, in fractional coordinates, are U at (0.000, 0.000, 0.000), V at (0.000, 0.000, 0.403) and P at (0.000, 0.000, 0.680).

The final energy is -51.15 eV/cell. As for the formation energy: 24 kJ/mol of formula units.

***

A plane-wave DFT calculation with PBE was carried out for an optimized crystal structure of UV5P3.

The structure belongs to space group P2_1/m (No. 11); the cell edges are 7.513, 3.335 and 10.249 Å and the angles 90.00°, 100.41° and 90.00°. The distinct sites, in fractional coordinates, are U at (0.193, 0.250, 0.280), V at (0.075, 0.250, 0.594), V at (0.129, 0.750, 0.012), V at (0.316, 0.750, 0.769), V at (0.377, 0.250, 0.000), V at (0.470, 0.250, 0.591), P at (0.098, 0.250, 0.836), P at (0.251, 0.750, 0.509) and P at (0.432, 0.750, 0.172).

The final energy is -160.97 eV/cell. As for the formation energy: -711 kJ/mol of formula units.

***

A plane-wave DFT calculation with PBE was carried out for an optimized crystal structure of UP3W.

The structure belongs to space group C2/m (No. 12); the cell edges are 15.322, 3.547 and 6.884 Å and the angles 90.00°, 100.39° and 90.00°. The distinct sites, in fractional coordinates, are U at (0.082, 0.000, 0.479), P at (0.027, 0.500, 0.755), P at (0.151, 0.000, 0.108), P at (0.225, 0.500, 0.576) and W at (0.184, 0.500, 0.897).

The final energy is -168.68 eV/cell. As for the formation energy: -164 kJ/mol of formula units.

***

A plane-wave DFT calculation with PBE was carried out for an optimized crystal structure of UPW.

The structure belongs to space group C2/m (No. 12); the cell edges are 9.826, 3.621 and 6.834 Å and the angles 90.00°, 117.62° and 90.00°. The distinct sites, in fractional coordinates, are U at (0.057, 0.000, 0.370), P at (0.185, 0.500, 0.718) and W at (0.147, 0.500, 0.058).

The final energy is -123.72 eV/cell. As for the formation energy: -123 kJ/mol of formula units.

***

A plane-wave DFT calculation with PBE was carried out for an optimized crystal structure of Y4UP5.

The structure belongs to space group Immm (No. 71); the cell edges are 3.989, 5.646 and 20.042 Å and the angles 90.00°, 90.00° and 90.00°. The distinct sites, in fractional coordinates, are Y at (0.000, 0.000, 0.101), Y at (0.000, 0.000, 0.299), U at (0.000, 0.000, 0.500), P at (0.000, 0.500, 0.097), P at (0.000, 0.500, 0.300) and P at (0.000, 0.500, 0.500).

The final energy is -158.29 eV/cell. As for the formation energy: -1443 kJ/mol of formula units.

***

A plane-wave DFT calculation with PBE was carried out for an optimized crystal structure of YU3P4.

The structure belongs to space group Cmmm (No. 65); the cell edges are 7.956, 11.185 and 3.930 Å and the angles 90.00°, 90.00° and 90.00°. The distinct sites, in fractional coordinates, are Y at (0.000, 0.000, 0.000), U at (0.000, 0.500, 0.000), U at (0.250, 0.250, 0.500), P at (0.000, 0.251, 0.000) and P at (0.246, 0.500, 0.500).

The final energy is -141.99 eV/cell. As for the formation energy: -871 kJ/mol of formula units.

***

A plane-wave DFT calculation with PBE was carried out for an optimized crystal structure of Y3UP4.

The structure belongs to space group Cmmm (No. 65); the cell edges are 7.998, 11.260 and 3.979 Å and the angles 90.00°, 90.00° and 90.00°. The distinct sites, in fractional coordinates, are Y at (0.000, 0.000, 0.000), Y at (0.250, 0.250, 0.500), U at (0.000, 0.500, 0.000), P at (0.000, 0.255, 0.000) and P at (0.244, 0.500, 0.500).

The final energy is -128.05 eV/cell. As for the formation energy: -1129 kJ/mol of formula units.

***

A plane-wave DFT calculation with PBE was carried out for an optimized crystal structure of YUP.

The structure belongs to space group Immm (No. 71); the cell edges are 3.517, 4.839 and 16.435 Å and the angles 90.00°, 90.00° and 90.00°. The distinct sites, in fractional coordinates, are Y at (0.000, 0.000, 0.173), U at (0.000, 0.248, 0.500) and P at (0.000, 0.000, 0.344).

The final energy is -97.87 eV/cell. As for the formation energy: -126 kJ/mol of formula units.

***

A plane-wave DFT calculation with PBE was carried out for an optimized crystal structure of YU5P6.

The structure belongs to space group C2/m (No. 12); the cell edges are 6.840, 11.861 and 6.833 Å and the angles 90.00°, 109.54° and 90.00°. The distinct sites, in fractional coordinates, are Y at (0.000, 0.000, 0.000), U at (0.000, 0.165, 0.500), U at (0.000, 0.333, 0.000), U at (0.000, 0.500, 0.500), P at (0.248, 0.332, 0.748) and P at (0.248, 0.500, 0.251).

The final energy is -216.38 eV/cell. As for the formation energy: -1238 kJ/mol of formula units.

***

A plane-wave DFT calculation with PBE was carried out for an optimized crystal structure of Y5UP6.

The structure belongs to space group C2/m (No. 12); the cell edges are 6.914, 11.982 and 6.910 Å and the angles 90.00°, 109.47° and 90.00°. The distinct sites, in fractional coordinates, are Y at (0.000, 0.000, 0.000), Y at (0.000, 0.166, 0.500), Y at (0.000, 0.331, 0.000), U at (0.000, 0.500, 0.500), P at (0.243, 0.500, 0.255) and P at (0.245, 0.337, 0.746).

The final energy is -188.67 eV/cell. As for the formation energy: -1763 kJ/mol of formula units.

***

A plane-wave DFT calculation with PBE was carried out for an optimized crystal structure of YU4P5.

The structure belongs to space group Immm (No. 71); the cell edges are 3.935, 5.577 and 19.861 Å and the angles 90.00°, 90.00° and 90.00°. The distinct sites, in fractional coordinates, are Y at (0.000, 0.000, 0.000), U at (0.000, 0.000, 0.201), U at (0.000, 0.000, 0.400), P at (0.000, 0.500, 0.000), P at (0.000, 0.500, 0.199) and P at (0.000, 0.500, 0.398).

The final energy is -179.12 eV/cell. As for the formation energy: -1051 kJ/mol of formula units.

***

A plane-wave DFT calculation with PBE was carried out for an optimized crystal structure of YU2P4.

The structure belongs to space group Cmcm (No. 63); the cell edges are 3.940, 13.152 and 12.352 Å and the angles 90.00°, 90.00° and 90.00°. The distinct sites, in fractional coordinates, are Y at (0.000, 0.114, 0.250), U at (0.000, 0.368, 0.065), P at (0.000, 0.000, 0.000), P at (0.000, 0.264, 0.626) and P at (0.000, 0.465, 0.250).

The final energy is -225.69 eV/cell. As for the formation energy: -554 kJ/mol of formula units.